Record 1
# PmPrGa2Pt2

A relaxed PmPrGa2Pt2 crystal (PBE, the Alexandria database).

a b c (Å): 4.4806 4.4806 7.5286
angles (deg): 90.00 90.00 120.00
Element x y z (fractional)
Pm (0.0000, 0.0000, 0.5000)
Pr (0.0000, 0.0000, 0.0000)
Ga (0.6667, 0.3333, 0.2574)
Ga (0.3333, 0.6667, 0.7426)
Pt (0.6667, 0.3333, 0.7424)
Pt (0.3333, 0.6667, 0.2576)

Crystal system: trigonal
Formation energy from the elements, eV/atom: -1.0063
Magnetization, μB per cell: 0.0

***

Record 2
# PmPr2Ga3Pt4

A relaxed PmPr2Ga3Pt4 crystal (PBE, the Alexandria database).

a b c (Å): 4.3380 4.3380 11.3730
angles (deg): 90.00 90.00 90.00
Element x y z (fractional)
Pm (0.5000, 0.5000, 0.5000)
Pr (0.5000, 0.0000, 0.2238)
Pr (0.0000, 0.5000, 0.7762)
Ga (0.0000, 0.0000, 0.5000)
Ga (0.5000, 0.0000, 0.8812)
Ga (0.0000, 0.5000, 0.1188)
Pt (0.5000, 0.5000, 0.0000)
Pt (0.0000, 0.0000, 0.0000)
Pt (0.5000, 0.0000, 0.6615)
Pt (0.0000, 0.5000, 0.3385)

Crystal system: tetragonal
Formation energy from the elements, eV/atom: -0.9386
Magnetization, μB per cell: 0.0

***

Record 3
# PmPrGaRh

A relaxed PmPrGaRh crystal (PBE, the Alexandria database).

a b c (Å): 5.1317 5.1317 5.1317
angles (deg): 60.00 60.00 60.00
Element x y z (fractional)
Pr (0.5000, 0.5000, 0.5000)
Rh (0.7500, 0.7500, 0.7500)
Ga (0.2500, 0.2500, 0.2500)
Pm (0.0000, 0.0000, 0.0000)

Crystal system: cubic
Excess energy over the best structure of this formula in the dataset, meV/atom: 116
Formation energy from the elements, eV/atom: -0.5312
Magnetization, μB per cell: 0.0

***

Record 4
# PmPrGa2Rh2

A relaxed PmPrGa2Rh2 crystal (PBE, the Alexandria database).

a b c (Å): 4.3822 4.3822 7.7274
angles (deg): 90.00 90.00 120.00
Element x y z (fractional)
Pm (0.0000, 0.0000, 0.0000)
Pr (0.0000, 0.0000, 0.5000)
Ga (0.6667, 0.3333, 0.7556)
Ga (0.3333, 0.6667, 0.2444)
Rh (0.6667, 0.3333, 0.2367)
Rh (0.3333, 0.6667, 0.7633)

Crystal system: trigonal
Formation energy from the elements, eV/atom: -0.7679
Magnetization, μB per cell: 0.0

***

Record 5
# PmPrGaRh

A relaxed PmPrGaRh crystal (PBE, the Alexandria database).

a b c (Å): 4.4181 3.9515 6.0656
angles (deg): 90.00 111.36 90.00
Element x y z (fractional)
Pm (0.8663, 0.5000, 0.7326)
Pr (0.1516, 0.0000, 0.3033)
Ga (0.5665, 0.5000, 0.1330)
Rh (0.4156, 0.0000, 0.8312)

Crystal system: orthorhombic
Excess energy over the best structure of this formula in the dataset, meV/atom: 0
Formation energy from the elements, eV/atom: -0.6476
Magnetization, μB per cell: 0.0

***

Record 6
# PmPrGaSi

A relaxed PmPrGaSi crystal (PBE, the Alexandria database).

a b c (Å): 4.4536 4.0661 6.0288
angles (deg): 90.00 111.68 90.00
Element x y z (fractional)
Pm (0.8594, 0.5000, 0.7188)
Pr (0.1418, 0.0000, 0.2836)
Ga (0.4285, 0.0000, 0.8571)
Si (0.5703, 0.5000, 0.1405)

Crystal system: orthorhombic
Excess energy over the best structure of this formula in the dataset, meV/atom: 0
Magnetization, μB per cell: 0.2
Energy relative to the elements, uncorrected, eV per atom: -0.70

***

Record 7
# PmPrGaSi

A relaxed PmPrGaSi crystal (PBE, the Alexandria database).

a b c (Å): 5.1905 5.1905 5.1905
angles (deg): 60.00 60.00 60.00
Element x y z (fractional)
Pr (0.2500, 0.2500, 0.2500)
Si (0.5000, 0.5000, 0.5000)
Ga (0.0000, 0.0000, 0.0000)
Pm (0.7500, 0.7500, 0.7500)

Crystal system: cubic
Excess energy over the best structure of this formula in the dataset, meV/atom: 231
Magnetization, μB per cell: 0.0
Energy relative to the elements, uncorrected, eV per atom: -0.47

***

Record 8
# PmPrSmGa

A relaxed PmPrSmGa crystal (PBE, the Alexandria database).

a b c (Å): 5.4728 5.4728 5.4728
angles (deg): 60.00 60.00 60.00
Site moments in Bohr magnetons follow the coordinates.
Element x y z (fractional)
Pr (0.7500, 0.7500, 0.7500)  0.18
Ga (0.5000, 0.5000, 0.5000)  0.00
Sm (0.2500, 0.2500, 0.2500)  0.18
Pm (0.0000, 0.0000, 0.0000)  0.29

Crystal system: cubic
Formation energy from the elements, eV/atom: -0.0644
Magnetization, μB per cell: 1.2

***

Record 9
# PmPrGaSn

A relaxed PmPrGaSn crystal (PBE, the Alexandria database).

a b c (Å): 5.3809 5.3809 5.3809
angles (deg): 60.00 60.00 60.00
Element x y z (fractional)
Pr (0.5000, 0.5000, 0.5000)
Sn (0.2500, 0.2500, 0.2500)
Ga (0.7500, 0.7500, 0.7500)
Pm (0.0000, 0.0000, 0.0000)

Crystal system: cubic
Excess energy over the best structure of this formula in the dataset, meV/atom: 146
Formation energy from the elements, eV/atom: -0.5639
Magnetization, μB per cell: 0.0

***

Record 10
# PmPrGaSn

A relaxed PmPrGaSn crystal (PBE, the Alexandria database).

a b c (Å): 4.6177 4.2714 6.2312
angles (deg): 90.00 111.75 90.00
Element x y z (fractional)
Pm (0.8573, 0.5000, 0.7146)
Pr (0.1375, 0.0000, 0.2749)
Ga (0.5824, 0.5000, 0.1648)
Sn (0.4228, 0.0000, 0.8457)

Crystal system: orthorhombic
Excess energy over the best structure of this formula in the dataset, meV/atom: 0
Formation energy from the elements, eV/atom: -0.7098
Magnetization, μB per cell: 0.0

***

Record 11
# TbPmPrGa

A relaxed TbPmPrGa crystal (PBE, the Alexandria database).

a b c (Å): 5.4423 5.4423 5.4423
angles (deg): 60.00 60.00 60.00
Site moments in Bohr magnetons follow the coordinates.
Element x y z (fractional)
Pr (0.7500, 0.7500, 0.7500)  0.20
Tb (0.2500, 0.2500, 0.2500)  0.27
Ga (0.5000, 0.5000, 0.5000)  0.00
Pm (0.0000, 0.0000, 0.0000)  0.32

Crystal system: cubic
Formation energy from the elements, eV/atom: -0.0566
Magnetization, μB per cell: 1.3

***

Record 12
# Pm3Pr3Tl2Ga

A relaxed Pm3Pr3Tl2Ga crystal (PBE, the Alexandria database).

a b c (Å): 3.8655 9.0925 9.0925
angles (deg): 120.00 90.00 90.00
Element x y z (fractional)
Pm (0.0000, 0.6102, 0.6102)
Pm (0.0000, 0.0000, 0.3898)
Pm (0.0000, 0.3898, 0.0000)
Pr (0.5000, 0.7312, 0.0000)
Pr (0.5000, 0.0000, 0.7312)
Pr (0.5000, 0.2688, 0.2688)
Tl (0.5000, 0.6667, 0.3333)
Tl (0.5000, 0.3333, 0.6667)
Ga (0.0000, 0.0000, 0.0000)

Crystal system: hexagonal
Formation energy from the elements, eV/atom: -0.3004
Magnetization, μB per cell: 0.0